Entry 1:
{"formula": "Mg2CoH8", "functional": "PBE", "state": "relaxed", "lattice_angstrom": [[3.142, 0.000, 0.000], [0.000, 4.048, -0.097], [-1.571, -1.901, 6.107]], "species": ["Mg", "Mg", "Co", "H", "H", "H", "H", "H", "H", "H", "H"], "frac_coords": [[0.839, 0.339, 0.678], [0.161, 0.661, 0.322], [0.500, 0.000, 0.000], [0.422, 0.626, 0.844], [0.610, 0.921, 0.219], [0.759, 0.751, 0.518], [0.993, 0.132, 0.986], [0.241, 0.249, 0.482], [0.390, 0.079, 0.781], [0.578, 0.374, 0.156], [0.007, 0.868, 0.014]], "energy_ev_per_atom": -3.3612}


Entry 2:
{"formula": "MgCo2H", "functional": "PBE", "state": "relaxed", "lattice_angstrom": [[0.000, 2.813, 2.813], [2.813, 0.000, 2.813], [2.813, 2.813, 0.000]], "species": ["H", "Mg", "Co", "Co"], "frac_coords": [[0.000, 0.000, 0.000], [0.500, 0.500, 0.500], [0.250, 0.250, 0.250], [0.750, 0.750, 0.750]], "de_polymorph_mev_per_atom": 793}


Entry 3:
{"formula": "MgCoH", "functional": "PBE", "state": "relaxed", "lattice_angstrom": [[4.189, 0.000, 0.000], [0.000, 2.902, 0.000], [0.000, -1.451, 2.514]], "species": ["H", "Mg", "Co"], "frac_coords": [[0.118, 0.000, 0.000], [0.689, 0.667, 0.333], [0.194, 0.333, 0.667]], "energy_ev_per_atom": -4.0129}


Entry 4:
{"formula": "MgCo2H2", "functional": "PBE", "state": "relaxed", "lattice_angstrom": [[5.715, 0.000, 0.000], [0.000, 5.715, 0.000], [0.000, 0.000, 2.687]], "species": ["H", "H", "H", "H", "Mg", "Mg", "Co", "Co", "Co", "Co"], "frac_coords": [[0.388, 0.888, 0.000], [0.888, 0.612, 0.000], [0.612, 0.112, 0.000], [0.112, 0.388, 0.000], [0.000, 0.000, 0.000], [0.500, 0.500, 0.000], [0.135, 0.635, 0.500], [0.635, 0.865, 0.500], [0.865, 0.365, 0.500], [0.365, 0.135, 0.500]], "de_polymorph_mev_per_atom": 291}


Entry 5:
{"formula": "NdMgCo2H8", "functional": "PBE", "state": "relaxed", "lattice_angstrom": [[4.563, 0.000, 0.000], [2.282, 3.952, 0.000], [2.282, 1.317, 5.451]], "species": ["Nd", "Mg", "Co", "Co", "H", "H", "H", "H", "H", "H", "H", "H"], "frac_coords": [[0.500, 0.500, 0.500], [0.000, 0.000, 0.000], [0.305, 0.305, 0.086], [0.695, 0.695, 0.914], [0.204, 0.204, 0.387], [0.587, 0.373, 0.138], [0.796, 0.796, 0.613], [0.902, 0.587, 0.138], [0.098, 0.413, 0.862], [0.373, 0.902, 0.138], [0.627, 0.098, 0.862], [0.413, 0.627, 0.862]], "energy_ev_per_atom": -4.1759}


Entry 6:
{"formula": "Nd2MgCo3H12", "functional": "PBE", "state": "relaxed", "lattice_angstrom": [[5.795, -0.121, -0.086], [2.757, 5.099, -0.086], [2.757, 1.605, 4.840]], "species": ["Nd", "Nd", "Mg", "Co", "Co", "Co", "H", "H", "H", "H", "H", "H", "H", "H", "H", "H", "H", "H"], "frac_coords": [[0.618, 0.618, 0.618], [0.382, 0.382, 0.382], [0.000, 0.000, 0.000], [0.500, 0.000, 0.000], [0.000, 0.500, 0.000], [0.000, 0.000, 0.500], [0.308, 0.308, 0.880], [0.884, 0.884, 0.394], [0.394, 0.884, 0.884], [0.880, 0.308, 0.308], [0.884, 0.394, 0.884], [0.308, 0.880, 0.308], [0.692, 0.692, 0.120], [0.116, 0.116, 0.606], [0.606, 0.116, 0.116], [0.120, 0.692, 0.692], [0.116, 0.606, 0.116], [0.692, 0.120, 0.692]], "energy_ev_per_atom": -4.2796}